Fe3Tc: optimized geometry, GGA-PBE. Values from VASP.

Structure (Quantum ESPRESSO input):
```
&SYSTEM
  ibrav = 0, nat = 12, ntyp = 2
/
ATOMIC_SPECIES
Fe 55.84 Fe.upf
Tc 98.00 Tc.upf
ATOMIC_POSITIONS crystal
Fe 0.000 0.500 0.000
Fe 0.167 0.333 0.333
Fe 0.167 0.833 0.333
Fe 0.333 0.167 0.667
Fe 0.500 0.000 0.000
Fe 0.500 0.500 0.000
Fe 0.667 0.833 0.333
Fe 0.833 0.167 0.667
Fe 0.833 0.667 0.667
Tc 0.000 0.000 0.000
Tc 0.333 0.667 0.667
Tc 0.667 0.333 0.333
CELL_PARAMETERS angstrom
8.287 0.000 0.000
-4.144 7.177 0.000
0.000 0.000 2.521
```

DOS at the Fermi energy ... 9.5 states/eV per cell
Calculated volume ... 50 Å³/f.u.
Size of the total moment ... 21.786 Bohr magnetons per cell
ΔE_f ... 0.09 eV per atom